Entry 1:
Density functional theory data (PBE) for a relaxed structure of LiInSn.

Lattice parameters (Å, degrees): 4.940 9.868 5.915 90.00 90.00 90.00
Space group Amm2 (No. 38)
Symmetry-distinct sites (fractional):
Li  0.000  0.173  0.000 x4
In  0.000  0.000  0.497 x2
In  0.500  0.000  0.161 x2
Sn  0.500  0.174  0.686 x4

Calculated values
For the mass density, the calculation gives 5.5 g/cm3. The total energy is -36.46 eV/cell. The value obtained for the total moment is 0.00 Bohr magnetons per cell. The formation enthalpy at 0 K is -0.46 eV/f.u.

=====

Entry 2:
Density functional theory data (PBE) for a relaxed structure of Nd7Sn2Ir2.

Lattice parameters (Å, degrees): 8.471 11.313 7.247 90.00 90.00 90.00
Space group Cmmm (No. 65)
Symmetry-distinct sites (fractional):
Nd  0.000  0.000  0.000 x2
Nd  0.000  0.500  0.240 x4
Nd  0.250  0.250  0.251 x8
Sn  0.175  0.000  0.500 x4
Ir  0.000  0.286  0.000 x4

Calculated values
For the mass density, the calculation gives 7.8 g/cm3. The total energy is -128.96 eV/cell. The value obtained for the total moment is 0.00 Bohr magnetons per cell. The formation enthalpy at 0 K is -5.38 eV/f.u.

=====

Look up the mass density of the second one. 7.8 g/cm3

=====

Which value of total moment does entry 1 give? 0.00 Bohr magnetons per cell

=====

Look up the formation enthalpy at 0 K of the first one. -0.46 eV/f.u.

=====

What did the second record say?
Density functional theory data (PBE) for a relaxed structure of Nd7Sn2Ir2.

Lattice parameters (Å, degrees): 8.471 11.313 7.247 90.00 90.00 90.00
Space group Cmmm (No. 65)
Symmetry-distinct sites (fractional):
Nd  0.000  0.000  0.000 x2
Nd  0.000  0.500  0.240 x4
Nd  0.250  0.250  0.251 x8
Sn  0.175  0.000  0.500 x4
Ir  0.000  0.286  0.000 x4

Calculated values
For the mass density, the calculation gives 7.8 g/cm3. The total energy is -128.96 eV/cell. The value obtained for the total moment is 0.00 Bohr magnetons per cell. The formation enthalpy at 0 K is -5.38 eV/f.u.